1.
GGA-PBE Th2PC, relaxed; symmetry = R-3m (166); formation energy from the elements = 0.081 eV per atom; ΔE to the lowest computed polymorph = 993.2 meV per atom
1.0
-4.292 -0.014 0.798
-2.788 -1.360 -3.073
-1.858 -7.309 1.818
C P Th
1 1 2
direct
0.000 0.000 0.000
0.500 0.500 0.500
0.097 0.097 0.710
0.903 0.903 0.290

---

2.
GGA-PBE Mo2OsBr, relaxed; formation energy from raw total energies = 0.61 eV/atom; symmetry = P4mm (99); ΔE to the lowest computed polymorph = 140.1 meV per atom
1.0
3.094 0.000 0.000
0.000 3.094 0.000
0.000 0.000 6.994
Br Mo Os
1 2 1
direct
0.500 0.500 0.774
0.000 0.000 0.005
0.500 0.500 0.260
0.000 0.000 0.460

---

3.
GGA-PBE Sc5BeAg4, relaxed; symmetry = P4/mmm (123); formation energy from the elements = -0.222 eV per atom
1.0
-0.151 -2.042 2.664
2.252 -2.040 -1.436
12.746 8.810 7.475
Be Ag Sc
1 4 5
direct
0.000 0.000 0.000
0.000 0.000 0.397
0.000 0.000 0.190
0.000 0.000 0.603
0.000 0.000 0.810
0.500 0.500 0.500
0.500 0.500 0.294
0.500 0.500 0.706
0.500 0.500 0.913
0.500 0.500 0.087

---

4.
GGA-PBE Sr2NiSb4Rh3, relaxed; formation energy from raw total energies = -0.66 eV/atom; symmetry = P-4m2 (115)
1.0
-4.310 0.410 1.575
-0.759 -4.451 -0.917
3.302 -2.562 9.701
Sr Sb Rh Ni
2 4 3 1
direct
0.500 0.000 0.255
0.000 0.500 0.745
0.000 0.500 0.378
0.000 0.000 0.000
0.500 0.500 0.000
0.500 0.000 0.622
0.000 0.000 0.500
0.000 0.500 0.126
0.500 0.000 0.874
0.500 0.500 0.500

---

5.
GGA-PBE AgBiMo2S, relaxed; formation energy from raw total energies = 1.68 eV/atom; symmetry = P4/mmm (123)
1.0
-2.118 1.343 4.617
4.113 -2.109 2.500
2.123 3.938 -0.171
Mo S Ag Bi
2 1 1 1
direct
0.000 0.500 0.000
0.500 0.000 0.000
0.000 0.000 0.500
0.000 0.000 0.000
0.500 0.500 0.500

---

6.
GGA-PBE CaFePb4, relaxed; symmetry = F-43m (216); formation energy from the elements = 0.414 eV per atom
1.0
0.000 4.538 4.538
4.538 0.000 4.538
4.538 4.538 0.000
Pb Ca Fe
4 1 1
direct
0.375 0.375 0.375
0.375 0.876 0.375
0.375 0.375 0.876
0.876 0.375 0.375
0.750 0.750 0.750
0.000 0.000 0.000

---

7.
GGA-PBE PmEu2Ho, relaxed; symmetry = P4/mmm (123); formation energy from the elements = 0.161 eV per atom; ΔE to the lowest computed polymorph = 51.1 meV per atom
1.0
4.035 0.000 0.000
0.000 5.974 0.000
0.000 0.000 5.974
Eu Pm Ho
2 1 1
direct
0.000 0.500 0.000
0.000 0.000 0.500
0.500 0.000 0.000
0.500 0.500 0.500

---

8.
GGA-PBE CoPRh2, relaxed; symmetry = P4mm (99); formation energy from the elements = -0.144 eV per atom
1.0
2.800 0.000 0.000
0.000 2.800 0.000
0.000 0.000 6.464
Co Rh P
1 2 1
direct
0.000 0.000 0.543
0.500 0.500 0.269
0.000 0.000 0.958
0.500 0.500 0.730